Computed, not measured: a relaxed LaSbN2O crystal at the PBE level of DFT.

Density ... 5.86 Mg/m³
Total magnetization ... 0.000 μB/atom
Electronic total energy ... -5.66 eV per atom

Lattice parameters (Å, degrees): 4.3586 4.3586 4.5416 90.00 90.00 90.00
Space group P4/mmm (No. 123)
Unique sites:
1 La 0.0000 0.0000 0.0000 [1 per cell]
2 Sb 0.5000 0.5000 0.5000 [1 per cell]
3 N 0.0000 0.5000 0.0000 [2 per cell]
4 O 0.0000 0.0000 0.5000 [1 per cell]